## CrPdAu4 (GGA-PBE)

Data for a geometry-optimized CrPdAu4 structure.

Computed properties:
Total energy (eV/atom): -4.434
ΔE_f (eV per atom): 0.220
Space-group type: C2/m

```
6
Lattice="3.802 -2.227 0.000 3.802 2.227 0.000 -2.525 0.000 6.718" Properties=species:S:1:pos:R:3 pbc="T T T"
Cr 0.000 0.000 0.000
Pd 2.539 0.000 3.359
Au -0.009 0.000 2.559
Au 0.035 0.000 5.704
Au 5.043 0.000 1.014
Au 5.087 0.000 4.159
```

## CrPd4Au2 (GGA-PBE)

Data for a geometry-optimized CrPd4Au2 structure.

Computed properties:
Total energy (eV/atom): -5.189
ΔE_f (eV per atom): 0.090
Space-group type: Cmcm

```
14
Lattice="1.399 -6.598 0.000 1.399 6.598 0.000 0.000 0.000 12.629" Properties=species:S:1:pos:R:3 pbc="T T T"
Cr 1.399 4.035 9.472
Cr 1.399 -4.035 3.157
Pd 0.000 0.000 0.000
Pd 0.000 0.000 6.314
Pd 1.399 2.358 0.981
Pd 1.399 2.358 5.334
Pd 1.399 0.506 3.157
Pd 1.399 -0.506 9.472
Pd 1.399 -2.358 7.295
Pd 1.399 -2.358 11.648
Au 1.399 1.800 8.024
Au 1.399 1.800 10.919
Au 1.399 -1.800 1.709
Au 1.399 -1.800 4.605
```

## CrPd9Au2 (GGA-PBE)

Data for a geometry-optimized CrPd9Au2 structure.

Computed properties:
Total energy (eV/atom): -5.305
ΔE_f (eV per atom): -0.062
Space-group type: P4/mmm

```
12
Lattice="3.970 0.000 0.000 0.000 3.970 0.000 0.000 0.000 11.902" Properties=species:S:1:pos:R:3 pbc="T T T"
Cr 0.000 0.000 0.000
Pd 0.000 1.985 1.882
Pd 0.000 1.985 5.951
Pd 0.000 1.985 10.020
Pd 1.985 0.000 1.882
Pd 1.985 0.000 5.951
Pd 1.985 0.000 10.020
Pd 1.985 1.985 0.000
Pd 1.985 1.985 3.914
Pd 1.985 1.985 7.989
Au 0.000 0.000 3.932
Au 0.000 0.000 7.971
```

## CrPd8Au2 (GGA-PBE)

Data for a geometry-optimized CrPd8Au2 structure.

Computed properties:
Total energy (eV/atom): -5.312
ΔE_f (eV per atom): -0.065
Space-group type: C2/m

```
11
Lattice="7.138 -1.992 0.000 7.138 1.992 0.000 -1.704 0.000 6.064" Properties=species:S:1:pos:R:3 pbc="T T T"
Cr 0.000 0.000 0.000
Pd 0.490 0.000 2.691
Pd 0.988 0.000 5.511
Pd 3.852 0.000 5.022
Pd 6.050 0.000 1.644
Pd 6.522 0.000 4.421
Pd 8.720 0.000 1.042
Pd 11.584 0.000 0.553
Pd 12.082 0.000 3.374
Au 3.295 0.000 2.188
Au 9.277 0.000 3.876
```

| no. | DOS at the Fermi energy (states/eV per atom) |
| --- | --- |
| 1 | 0.5351 |
| 2 | 0.8960 |
| 3 | 1.5567 |
| 4 | 1.5415 |